Entry 1:
First-principles (GGA-PBE) data for a relaxed La3GdZn12Ge6 crystal, as listed in the Open Quantum Materials Database.

Output
The value obtained for the magnetic moment is 0.00 μB/f.u.

Unit cell a=7.6981 b=4.1228 c=13.3325 alpha=90.00 beta=90.00 gamma=90.00
Last column: nearest neighbours and their distance in Å.
Sites, in units of the cell vectors:
Gd (0.0003, 0.0000, 0.3332)  6 Ge 3.14, 9 Zn 3.23-3.44
Ge (0.3801, 0.5000, 0.0005)  5 Zn 2.53-2.66
Ge (0.8123, 0.5000, 0.1930)  5 Zn 2.52-2.67
Ge (0.3046, 0.5000, 0.3101)  5 Zn 2.52-2.69
Ge (0.8822, 0.5000, 0.4968)  5 Zn 2.52-2.67
Ge (0.3104, 0.5000, 0.6895)  5 Zn 2.53-2.66
Ge (0.8104, 0.5000, 0.8100)  5 Zn 2.54-2.66
La (0.4994, 0.0000, 0.1679)  6 Ge 3.17-3.19, 9 Zn 3.27-3.45
La (0.0005, 0.0000, 0.6654)  6 Ge 3.17-3.18, 9 Zn 3.27-3.45
La (0.4999, 0.0000, 0.8334)  6 Ge 3.17, 9 Zn 3.27-3.45
Zn (0.7123, 0.5000, 0.0012)  3 Ge 2.56-2.67, 4 Zn 2.84-2.85
Zn (0.9080, 0.0000, 0.0963)  2 Zn 2.51-2.53, 2 Ge 2.54
Zn (0.1434, 0.5000, 0.1455)  3 Ge 2.52-2.66, 2 Zn 2.82
Zn (0.6445, 0.5000, 0.3556)  3 Ge 2.52-2.69, 2 Zn 2.82
Zn (0.4009, 0.0000, 0.4061)  2 Zn 2.50-2.53, 2 Ge 2.54
Zn (0.6892, 0.0000, 0.4974)  4 Zn 2.52-2.82, 2 Ge 2.54
Zn (0.2100, 0.5000, 0.4989)  3 Ge 2.52-2.66, 2 Zn 2.82
Zn (0.4071, 0.0000, 0.5940)  2 Zn 2.50-2.52, 2 Ge 2.53
Zn (0.6454, 0.5000, 0.6432)  3 Ge 2.56-2.67, 4 Zn 2.84-2.85
Zn (0.1442, 0.5000, 0.8556)  3 Ge 2.56-2.65, 4 Zn 2.84
Zn (0.9061, 0.0000, 0.9063)  2 Zn 2.51-2.53, 2 Ge 2.54
Zn (0.1886, 0.0000, 0.9999)  2 Zn 2.51, 2 Ge 2.53

Entry 2:
First-principles (GGA-PBE) data for a relaxed LaYAg2Sb4 crystal, as listed in the Open Quantum Materials Database.

Output
The value obtained for the magnetic moment is 0.01 μB/f.u.

Unit cell a=4.3976 b=4.3976 c=10.5832 alpha=90.00 beta=90.00 gamma=90.00
Last column: nearest neighbours and their distance in Å.
Sites, in units of the cell vectors:
Ag (0.5000, 0.0000, 0.9945)  4 Sb 2.89-2.91, 4 Ag 3.11
Ag (0.0000, 0.5000, 0.9945)  4 Sb 2.89-2.91, 4 Ag 3.11
La (0.0000, 0.0000, 0.2636)  8 Sb 3.25-3.40, 4 Ag 3.60
Sb (0.5000, 0.5000, 0.1741)  4 Ag 2.91, 4 La 3.25
Sb (0.5000, 0.0000, 0.5082)  4 Sb 3.11, 2 Y 3.30, 2 La 3.40
Sb (0.0000, 0.5000, 0.5082)  4 Sb 3.11, 2 Y 3.30, 2 La 3.40
Sb (0.0000, 0.0000, 0.8166)  4 Ag 2.89, 4 Y 3.21
Y (0.5000, 0.5000, 0.7403)  8 Sb 3.21-3.30, 4 Ag 3.47

Entry 3:
First-principles (GGA-PBE) data for a relaxed KTbCdS3 crystal, as listed in the Open Quantum Materials Database.

Output
The value obtained for the magnetic moment is 0.00 μB/f.u.

Unit cell a=8.8146 b=8.8146 c=8.9334 alpha=103.55 beta=103.55 gamma=26.66
Last column: nearest neighbours and their distance in Å.
Sites, in units of the cell vectors:
Cd (0.5060, 0.5060, 0.2208)  4 S 2.52-2.82
Cd (0.4940, 0.4940, 0.7792)  4 S 2.52-2.82
K (0.8568, 0.8568, 0.4332)  7 S 3.13-3.35
K (0.1432, 0.1432, 0.5668)  7 S 3.13-3.35
S (0.0000, 0.0000, 0.0000)  4 Cd 2.82, 2 Tb 2.86
S (0.3344, 0.3344, 0.1283)  3 Tb 2.73-2.79, 1 Cd 2.86
S (0.6651, 0.6651, 0.2867)  1 Cd 2.65, 2 Tb 2.72
S (0.5000, 0.5000, 0.5000)  2 Cd 2.52
S (0.3349, 0.3349, 0.7133)  1 Cd 2.65, 2 Tb 2.72
S (0.6656, 0.6656, 0.8717)  3 Tb 2.73-2.79, 1 Cd 2.86
Tb (0.1717, 0.1717, 0.0883)  6 S 2.72-2.86
Tb (0.8283, 0.8283, 0.9117)  6 S 2.72-2.86

Entry 4:
First-principles (GGA-PBE) data for a relaxed Nb4AlCoC2 crystal, as listed in the Open Quantum Materials Database.

Output
The value obtained for the magnetic moment is 0.56 μB/f.u.

Unit cell a=3.1196 b=3.1196 c=13.3900 alpha=90.00 beta=90.00 gamma=120.00
Last column: nearest neighbours and their distance in Å.
Sites, in units of the cell vectors:
Al (0.0000, 0.0000, 0.0000)  6 Nb 2.87, 6 Al 3.12
C (0.3333, 0.6667, 0.2608)  6 Nb 2.20
C (0.3333, 0.6667, 0.7392)  6 Nb 2.20
Co (0.6667, 0.3333, 0.5000)  6 Nb 2.65
Nb (0.6667, 0.3333, 0.1666)  3 C 2.20
Nb (0.0000, 0.0000, 0.3553)  3 C 2.20
Nb (0.0000, 0.0000, 0.6447)  3 C 2.20
Nb (0.6667, 0.3333, 0.8334)  3 C 2.20

Entry 5:
First-principles (GGA-PBE) data for a relaxed Nd4As3Se4 crystal, as listed in the Open Quantum Materials Database.

Output
The value obtained for the magnetic moment is 0.00 μB/f.u.

Unit cell a=9.0415 b=7.9305 c=7.9305 alpha=30.99 beta=90.00 gamma=90.00
Last column: nearest neighbours and their distance in Å.
Sites, in units of the cell vectors:
As (0.3506, 0.6435, 0.6435)  1 As 2.70, 4 Nd 3.00-3.03
As (0.6494, 0.6435, 0.6435)  1 As 2.70, 4 Nd 3.00-3.03
As (0.0000, 0.6892, 0.6892)  6 Nd 3.08-3.18, 2 As 3.25
Nd (0.5000, 0.0368, 0.0368)  4 As 3.00, 4 Se 3.01-3.09
Nd (0.0000, 0.0433, 0.0433)  4 Se 2.95-3.05, 2 As 3.08
Nd (0.2282, 0.2650, 0.2650)  4 Se 3.02-3.11, 4 As 3.03-3.18
Nd (0.7718, 0.2650, 0.2650)  4 Se 3.02-3.11, 4 As 3.03-3.18
Se (0.5000, 0.3897, 0.3897)  4 Nd 3.09-3.11, 4 Se 3.12
Se (0.0000, 0.4092, 0.4092)  4 Nd 2.95-3.02, 4 Se 3.09
Se (0.2481, 0.9079, 0.9079)  4 Nd 3.01-3.05, 4 Se 3.09-3.12
Se (0.7519, 0.9079, 0.9079)  4 Nd 3.01-3.05, 4 Se 3.09-3.12

Entry 6:
First-principles (GGA-PBE) data for a relaxed Rb2PtSe2S crystal, as listed in the Open Quantum Materials Database.

Output
The value obtained for the magnetic moment is 0.00 μB/f.u.

Unit cell a=7.4100 b=7.4100 c=9.7248 alpha=112.61 beta=112.61 gamma=56.09
Last column: nearest neighbours and their distance in Å.
Sites, in units of the cell vectors:
Pt (0.4097, 0.4097, 0.3521)  2 S 2.31, 2 Se 2.42
Pt (0.5903, 0.5903, 0.6479)  2 S 2.31, 2 Se 2.42
Rb (0.9092, 0.9092, 0.1299)  5 Se 3.44-3.53, 2 S 3.66
Rb (0.6922, 0.6922, 0.3280)  5 Se 3.56-3.74, 2 Pt 3.80-3.88
Rb (0.3078, 0.3078, 0.6720)  5 Se 3.56-3.74, 2 Pt 3.80-3.88
Rb (0.0908, 0.0908, 0.8701)  5 Se 3.44-3.53, 2 S 3.66
S (0.7619, 0.2381, 0.5000)  2 Pt 2.31
S (0.2381, 0.7619, 0.5000)  2 Pt 2.31
Se (0.3881, 0.3881, 0.0915)  1 Pt 2.42
Se (0.2054, 0.2054, 0.2628)  1 Pt 2.42
Se (0.7946, 0.7946, 0.7372)  1 Pt 2.42
Se (0.6119, 0.6119, 0.9085)  1 Pt 2.42

Number 1: total energy -3.275 eV/atom. Number 2: total energy -4.877 eV/atom. Number 3: total energy -4.539 eV/atom. Number 4: total energy -9.067 eV/atom. Number 5: total energy -5.448 eV/atom. Number 6: total energy -3.759 eV/atom.